(1)
Ni2PbBr after structural relaxation. Source: Alexandria, functional PBE.

Computed properties:
Space group: P4mm (99)
DFT total energy: -4.041 eV/atom
Spin magnetization: 1.095 μB per cell
Energy above the most stable polymorph in this dataset: 0.47 eV per formula unit
Mass density: 8.24 Mg/m³

Structure (POSCAR):
```
Ni2PbBr
1.0
-2.167 1.696 -1.864
-2.501 -1.132 1.874
0.714 5.827 4.473
Ni Pb Br
2 1 1
direct
0.000 0.000 0.042
0.500 0.500 0.183
0.000 0.000 0.413
0.500 0.500 0.862
```

***

(2)
ZrNiAs2 after structural relaxation. Source: Alexandria, functional PBE.

Computed properties:
Space group: Pmmm (47)
DFT total energy: -6.427 eV/atom
Spin magnetization: 0.000 μB per cell
Mass density: 7.08 Mg/m³
ΔE_f: -520 meV per atom

Structure (POSCAR):
```
ZrNiAs2
1.0
-2.418 2.141 1.898
0.897 -1.559 2.901
3.943 3.751 0.792
Ni As Zr
1 2 1
direct
0.500 0.250 0.250
0.000 0.250 0.997
0.000 0.250 0.503
0.500 0.750 0.750
```

***

(3)
MgSc2Cl2 after structural relaxation. Source: Alexandria, functional PBE.

Computed properties:
Space group: I4/mmm (139)
DFT total energy: -4.275 eV/atom
Spin magnetization: 0.001 μB per cell
Energy above the most stable polymorph in this dataset: 0.00 eV per formula unit
Mass density: 2.61 Mg/m³

Structure (POSCAR):
```
MgSc2Cl2
1.0
4.581 0.000 0.000
0.000 4.581 0.000
2.291 2.291 5.613
Cl Mg Sc
2 1 2
direct
0.646 0.646 0.708
0.354 0.354 0.292
0.000 0.000 0.000
0.250 0.750 0.500
0.750 0.250 0.500
```

***

(4)
CaPSeS2 after structural relaxation. Source: Alexandria, functional PBE.

Computed properties:
Space group: P4/mmm (123)
DFT total energy: -3.904 eV/atom
Spin magnetization: 0.001 μB per cell
Energy above the most stable polymorph in this dataset: 0.00 eV per formula unit
Mass density: 3.13 Mg/m³

Structure (POSCAR):
```
CaPSeS2
1.0
4.903 0.000 0.000
0.000 4.903 0.000
0.000 0.000 4.729
S Ca Se P
2 1 1 1
direct
0.000 0.500 0.000
0.500 0.000 0.000
0.500 0.500 0.500
0.000 0.000 0.000
0.000 0.000 0.500
```

***

(5)
Ba2Na2Sr after structural relaxation. Source: Alexandria, functional PBE.

Computed properties:
Space group: P4/mbm (127)
DFT total energy: -1.622 eV/atom
Spin magnetization: 0.000 μB per cell
Energy above the most stable polymorph in this dataset: 0.00 eV per formula unit
Mass density: 2.58 Mg/m³
ΔE_f: 11 meV per atom

Structure (POSCAR):
```
Ba2Na2Sr
1.0
10.280 0.000 0.000
0.000 10.280 0.000
0.000 0.000 4.978
Na Ba Sr
4 4 2
direct
0.622 0.122 0.000
0.378 0.878 0.000
0.122 0.378 0.000
0.878 0.622 0.000
0.675 0.825 0.500
0.825 0.325 0.500
0.325 0.175 0.500
0.175 0.675 0.500
0.500 0.500 0.000
0.000 0.000 0.000
```

***

(6)
TaMn2Fe after structural relaxation. Source: Alexandria, functional PBE.

Computed properties:
Space group: Pm (6)
DFT total energy: -9.556 eV/atom
Spin magnetization: 3.758 μB per cell
Mass density: 11.12 Mg/m³
ΔE_f: 108 meV per atom

Structure (POSCAR):
```
TaMn2Fe
1.0
-2.665 0.320 -2.979
-0.359 -2.606 0.041
-3.753 -0.539 3.300
Ta Mn Fe
1 2 1
direct
0.000 0.494 0.504
0.000 0.994 0.009
0.500 0.253 0.220
0.500 0.759 0.768
```

***

(7)
SrTbPtRh after structural relaxation. Source: Alexandria, functional PBE.

Computed properties:
Space group: F-43m (216)
DFT total energy: -5.590 eV/atom
Spin magnetization: 0.000 μB per cell
Mass density: 10.13 Mg/m³
ΔE_f: -664 meV per atom

Structure (POSCAR):
```
SrTbPtRh
1.0
5.016 0.000 0.000
2.508 4.344 0.000
2.508 1.448 4.096
Rh Tb Sr Pt
1 1 1 1
direct
0.250 0.250 0.250
0.000 0.000 0.000
0.500 0.500 0.500
0.750 0.750 0.750
```

***

(8)
La3CBr3 after structural relaxation. Source: Alexandria, functional PBE.

Computed properties:
Space group: I4_132 (214)
DFT total energy: -5.470 eV/atom
Spin magnetization: 0.000 μB per cell
Energy above the most stable polymorph in this dataset: 0.00 eV per formula unit
Mass density: 5.54 Mg/m³

Structure (POSCAR):
```
La3CBr3
1.0
-1.107 -8.899 -4.718
8.459 4.525 -3.265
0.632 -1.532 9.996
La Br C
12 12 4
direct
0.730 0.460 0.480
0.960 0.480 0.230
0.540 0.270 0.020
0.250 0.230 0.270
0.520 0.040 0.270
0.730 0.270 0.750
0.980 0.230 0.460
0.770 0.750 0.230
0.770 0.020 0.040
0.520 0.480 0.750
0.250 0.020 0.480
0.980 0.750 0.020
0.480 0.740 0.990
0.490 0.510 0.250
0.020 0.510 0.760
0.490 0.980 0.740
0.010 0.250 0.990
0.260 0.740 0.250
0.750 0.760 0.740
0.010 0.760 0.520
0.240 0.250 0.760
0.260 0.520 0.510
0.750 0.990 0.510
0.240 0.990 0.980
0.000 0.000 0.250
0.750 0.250 0.250
0.500 0.250 0.500
0.750 0.500 0.000
```

***

(9)
Ho4Al3 after structural relaxation. Source: Alexandria, functional PBE.

Computed properties:
Space group: R-3 (148)
DFT total energy: -4.533 eV/atom
Spin magnetization: 0.000 μB per cell
Mass density: 7.21 Mg/m³
ΔE_f: -313 meV per atom

Structure (POSCAR):
```
Ho4Al3
1.0
-6.254 0.896 0.364
2.476 -0.759 7.746
2.876 6.685 -3.709
Al Ho
6 8
direct
0.538 0.275 0.405
0.263 0.130 0.725
0.462 0.725 0.595
0.133 0.595 0.870
0.737 0.870 0.275
0.867 0.405 0.130
0.000 0.000 0.000
0.075 0.302 0.450
0.925 0.698 0.550
0.500 0.000 0.000
0.374 0.450 0.148
0.626 0.550 0.852
0.227 0.852 0.302
0.773 0.148 0.698
```

***

(10)
Tl3In after structural relaxation. Source: Alexandria, functional PBE.

Computed properties:
Space group: P2/m (10)
DFT total energy: -2.447 eV/atom
Spin magnetization: 0.000 μB per cell
Mass density: 10.06 Mg/m³
ΔE_f: 12 meV per atom

Structure (POSCAR):
```
Tl3In
1.0
5.549 0.000 0.000
0.000 3.393 0.004
0.000 1.132 6.383
Tl In
3 1
direct
0.500 0.203 0.243
0.500 0.797 0.757
0.000 0.500 0.500
0.000 0.000 0.000
```

***

(11)
Tl2Se2S5 after structural relaxation. Source: Alexandria, functional PBE.

Computed properties:
Space group: Ima2 (46)
DFT total energy: -3.578 eV/atom
Spin magnetization: 0.000 μB per cell
Energy above the most stable polymorph in this dataset: 0.00 eV per formula unit
Mass density: 3.41 Mg/m³

Structure (POSCAR):
```
Tl2Se2S5
1.0
-12.592 -2.427 7.017
-1.574 -3.802 -4.140
10.657 -3.032 2.847
Tl Se S
4 4 10
direct
0.693 0.574 0.719
0.474 0.355 0.280
0.193 0.645 0.719
0.974 0.426 0.281
0.688 0.974 0.500
0.739 0.500 0.000
0.239 0.000 0.000
0.188 0.026 0.500
0.855 0.916 0.215
0.640 0.084 0.785
0.979 0.259 0.717
0.335 0.046 0.500
0.479 0.958 0.717
0.835 0.954 0.500
0.140 0.201 0.785
0.355 0.799 0.215
0.762 0.042 0.283
0.262 0.741 0.283
```

***

(12)
AlBi3B after structural relaxation. Source: Alexandria, functional PBE.

Computed properties:
Space group: Pm-3m (221)
DFT total energy: -3.594 eV/atom
Spin magnetization: 0.000 μB per cell
Energy above the most stable polymorph in this dataset: 0.00 eV per formula unit
Mass density: 8.36 Mg/m³
ΔE_f: 819 meV per atom

Structure (POSCAR):
```
AlBi3B
1.0
5.091 0.000 0.000
0.000 5.091 0.000
0.000 0.000 5.091
Bi B Al
3 1 1
direct
0.500 0.000 0.000
0.000 0.000 0.500
0.000 0.500 0.000
0.000 0.000 0.000
0.500 0.500 0.500
```